# 1
{"formula": "Sc3AsBr", "functional": "GGA-PBEsol", "state": "optimized geometry", "lattice_angstrom": [[4.854, 0.000, 0.000], [0.000, 4.854, 0.000], [0.000, 0.000, 4.854]], "species": ["Sc", "Sc", "Sc", "As", "Br"], "frac_coords": [[0.000, 0.500, 0.000], [0.000, 0.000, 0.500], [0.500, 0.000, 0.000], [0.500, 0.500, 0.500], [0.000, 0.000, 0.000]], "magmom_total_mub_per_cell": 0.002, "e_form_raw_kj_per_mol_atoms": -10.1, "spacegroup": "No. 221", "vol_a3_per_atom": 22.9}

# 2
{"formula": "ScAsBr2", "functional": "GGA-PBEsol", "state": "optimized geometry", "lattice_angstrom": [[3.853, 0.000, 0.000], [0.000, 3.853, 0.000], [0.000, 0.000, 7.622]], "species": ["As", "Br", "Br", "Sc"], "frac_coords": [[0.500, 0.500, 0.625], [0.000, 0.000, 0.943], [0.500, 0.500, 0.306], [0.000, 0.000, 0.625]], "magmom_total_mub_per_cell": 0.000, "polymorph_energy_mev_per_atom": 0, "e_form_raw_kj_per_mol_atoms": -86.5, "spacegroup": "No. 99", "vol_a3_per_atom": 28.3}

# 3
{"formula": "ScTaAs2Br", "functional": "GGA-PBEsol", "state": "optimized geometry", "lattice_angstrom": [[-4.100, -0.589, 2.754], [1.459, -4.605, 1.187], [2.387, 1.769, 3.932]], "species": ["Sc", "As", "As", "Br", "Ta"], "frac_coords": [[0.500, 0.500, 0.500], [0.000, 0.500, 0.000], [0.500, 0.000, 0.000], [0.000, 0.000, 0.500], [0.000, 0.000, 0.000]], "magmom_total_mub_per_cell": 0.549, "e_form_raw_kj_per_mol_atoms": 9.2, "spacegroup": "No. 123", "vol_a3_per_atom": 24.4}

# 4
{"formula": "ScTcAsBr2", "functional": "GGA-PBEsol", "state": "optimized geometry", "lattice_angstrom": [[-1.094, -0.312, 4.567], [-3.730, -3.147, -1.108], [3.127, -3.877, 0.484]], "species": ["Sc", "As", "Tc", "Br", "Br"], "frac_coords": [[0.500, 0.500, 0.500], [0.500, 0.000, 0.000], [0.000, 0.000, 0.000], [0.000, 0.000, 0.500], [0.000, 0.500, 0.000]], "magmom_total_mub_per_cell": 0.385, "e_form_raw_kj_per_mol_atoms": 23.3, "spacegroup": "No. 123", "vol_a3_per_atom": 23.6}

# 5
{"formula": "ScTcAs2Br", "functional": "GGA-PBEsol", "state": "optimized geometry", "lattice_angstrom": [[4.688, 0.000, 0.000], [0.000, 4.688, 0.000], [0.000, 0.000, 5.158]], "species": ["Sc", "As", "As", "Tc", "Br"], "frac_coords": [[0.500, 0.500, 0.500], [0.000, 0.500, 0.000], [0.500, 0.000, 0.000], [0.000, 0.000, 0.000], [0.000, 0.000, 0.500]], "magmom_total_mub_per_cell": 0.021, "e_form_raw_kj_per_mol_atoms": 19.8, "spacegroup": "No. 123", "vol_a3_per_atom": 22.7}

# 6
{"formula": "ScTlAsBr2", "functional": "GGA-PBEsol", "state": "optimized geometry", "lattice_angstrom": [[5.332, 0.000, 0.000], [0.000, 5.410, 0.000], [0.000, 0.000, 5.410]], "species": ["Sc", "Tl", "As", "Br", "Br"], "frac_coords": [[0.500, 0.500, 0.500], [0.000, 0.000, 0.000], [0.500, 0.000, 0.000], [0.000, 0.000, 0.500], [0.000, 0.500, 0.000]], "magmom_total_mub_per_cell": 0.487, "e_form_raw_kj_per_mol_atoms": 23.6, "spacegroup": "No. 123", "vol_a3_per_atom": 31.2}

# 7
{"formula": "AsSeBr2", "functional": "GGA-PBEsol", "state": "optimized geometry", "lattice_angstrom": [[3.951, 0.000, 0.000], [0.000, 3.951, 0.000], [0.000, 0.000, 7.163]], "species": ["As", "Se", "Br", "Br"], "frac_coords": [[0.500, 0.500, 0.633], [0.000, 0.000, 0.616], [0.000, 0.000, 0.947], [0.500, 0.500, 0.304]], "magmom_total_mub_per_cell": 0.000, "polymorph_energy_mev_per_atom": 72, "e_form_raw_kj_per_mol_atoms": -3.0, "spacegroup": "No. 99", "vol_a3_per_atom": 28.0}

# 8
{"formula": "AsSeBr2", "functional": "GGA-PBEsol", "state": "optimized geometry", "lattice_angstrom": [[3.511, 0.000, 0.000], [0.000, 4.425, 0.000], [-1.755, -2.213, 6.766]], "species": ["As", "Se", "Br", "Br"], "frac_coords": [[0.000, 0.500, 0.000], [0.500, 0.000, 0.000], [0.662, 0.662, 0.323], [0.338, 0.338, 0.677]], "magmom_total_mub_per_cell": 0.001, "polymorph_energy_mev_per_atom": 286, "e_form_raw_kj_per_mol_atoms": 17.6, "spacegroup": "No. 71", "vol_a3_per_atom": 26.3}

# 9
{"formula": "AsSeBr2", "functional": "GGA-PBEsol", "state": "optimized geometry", "lattice_angstrom": [[-2.904, -3.907, 0.701], [-0.831, -1.662, 4.554], [-4.433, 0.568, 2.055]], "species": ["As", "Se", "Br", "Br"], "frac_coords": [[0.500, 0.500, 0.500], [0.750, 0.750, 0.750], [0.000, 0.000, 0.000], [0.250, 0.250, 0.250]], "magmom_total_mub_per_cell": 0.000, "polymorph_energy_mev_per_atom": 492, "e_form_raw_kj_per_mol_atoms": 37.5, "spacegroup": "No. 216", "vol_a3_per_atom": 21.0}

# 10
{"formula": "AsSeBr2", "functional": "GGA-PBEsol", "state": "optimized geometry", "lattice_angstrom": [[3.777, 0.000, 0.000], [-1.889, 3.277, -0.047], [0.000, -0.553, 7.964]], "species": ["As", "Se", "Br", "Br"], "frac_coords": [[0.774, 0.547, 0.274], [0.445, 0.890, 0.458], [0.050, 0.101, 0.041], [0.231, 0.462, 0.728]], "magmom_total_mub_per_cell": 0.000, "polymorph_energy_mev_per_atom": 0, "e_form_raw_kj_per_mol_atoms": -10.0, "spacegroup": "No. 8", "vol_a3_per_atom": 24.6}

# 11
{"formula": "AsSeBr", "functional": "GGA-PBEsol", "state": "optimized geometry", "lattice_angstrom": [[3.719, 0.000, 0.000], [0.000, 3.719, 0.000], [-1.860, -1.860, 6.274]], "species": ["As", "Br", "Se"], "frac_coords": [[0.118, 0.118, 0.236], [0.305, 0.305, 0.609], [0.577, 0.577, 0.154]], "magmom_total_mub_per_cell": 0.000, "e_form_raw_kj_per_mol_atoms": -13.9, "spacegroup": "No. 107", "vol_a3_per_atom": 28.9}

# 12
{"formula": "AsSeBr2", "functional": "GGA-PBEsol", "state": "optimized geometry", "lattice_angstrom": [[-2.599, -0.168, 2.184], [1.123, -4.148, 1.017], [3.539, 2.029, 4.368]], "species": ["As", "Se", "Br", "Br"], "frac_coords": [[0.000, 0.500, 0.500], [0.500, 0.500, 0.000], [0.000, 0.000, 0.000], [0.500, 0.000, 0.500]], "magmom_total_mub_per_cell": 0.000, "polymorph_energy_mev_per_atom": 473, "e_form_raw_kj_per_mol_atoms": 35.7, "spacegroup": "No. 47", "vol_a3_per_atom": 22.4}

# 13
{"formula": "SnAsSeBr2", "functional": "GGA-PBEsol", "state": "optimized geometry", "lattice_angstrom": [[5.353, 0.000, 0.000], [0.000, 5.353, 0.000], [0.000, 0.000, 5.420]], "species": ["As", "Se", "Sn", "Br", "Br"], "frac_coords": [[0.500, 0.500, 0.500], [0.000, 0.000, 0.500], [0.000, 0.000, 0.000], [0.000, 0.500, 0.000], [0.500, 0.000, 0.000]], "magmom_total_mub_per_cell": 1.845, "polymorph_energy_mev_per_atom": 0, "e_form_raw_kj_per_mol_atoms": 35.2, "spacegroup": "No. 123", "vol_a3_per_atom": 31.1}

# 14
{"formula": "SnAsSeBr2", "functional": "GGA-PBEsol", "state": "optimized geometry", "lattice_angstrom": [[5.244, 0.000, 0.000], [0.000, 5.244, 0.000], [0.000, 0.000, 5.570]], "species": ["As", "Se", "Sn", "Br", "Br"], "frac_coords": [[0.000, 0.000, 0.500], [0.500, 0.500, 0.500], [0.000, 0.000, 0.000], [0.000, 0.500, 0.000], [0.500, 0.000, 0.000]], "magmom_total_mub_per_cell": 0.363, "polymorph_energy_mev_per_atom": 94, "e_form_raw_kj_per_mol_atoms": 44.3, "spacegroup": "No. 123", "vol_a3_per_atom": 30.6}

# 15
{"formula": "SrAsSeBr2", "functional": "GGA-PBEsol", "state": "optimized geometry", "lattice_angstrom": [[-5.253, -0.477, 0.074], [0.479, -5.036, 1.496], [-0.063, 1.464, 4.948]], "species": ["Sr", "As", "Se", "Br", "Br"], "frac_coords": [[0.500, 0.500, 0.500], [0.000, 0.000, 0.000], [0.000, 0.000, 0.500], [0.000, 0.500, 0.000], [0.500, 0.000, 0.000]], "magmom_total_mub_per_cell": 0.001, "e_form_raw_kj_per_mol_atoms": -76.5, "spacegroup": "No. 123", "vol_a3_per_atom": 28.7}

# 16
{"formula": "TaAsSeBr2", "functional": "GGA-PBEsol", "state": "optimized geometry", "lattice_angstrom": [[5.041, 0.000, 0.000], [0.000, 5.041, 0.000], [0.000, 0.000, 5.086]], "species": ["As", "Se", "Br", "Br", "Ta"], "frac_coords": [[0.000, 0.000, 0.000], [0.000, 0.000, 0.500], [0.000, 0.500, 0.000], [0.500, 0.000, 0.000], [0.500, 0.500, 0.500]], "magmom_total_mub_per_cell": 3.431, "polymorph_energy_mev_per_atom": 809, "e_form_raw_kj_per_mol_atoms": 103.2, "spacegroup": "No. 123", "vol_a3_per_atom": 25.8}

# 17
{"formula": "TaAsSeBr2", "functional": "GGA-PBEsol", "state": "optimized geometry", "lattice_angstrom": [[4.868, 0.000, 0.000], [0.000, 4.868, 0.000], [0.000, 0.000, 5.237]], "species": ["As", "Se", "Br", "Br", "Ta"], "frac_coords": [[0.000, 0.000, 0.500], [0.500, 0.500, 0.500], [0.000, 0.500, 0.000], [0.500, 0.000, 0.000], [0.000, 0.000, 0.000]], "magmom_total_mub_per_cell": 0.002, "polymorph_energy_mev_per_atom": 0, "e_form_raw_kj_per_mol_atoms": 25.1, "spacegroup": "No. 123", "vol_a3_per_atom": 24.8}

# 18
{"formula": "TcAsSeBr2", "functional": "GGA-PBEsol", "state": "optimized geometry", "lattice_angstrom": [[-1.664, -3.759, -2.936], [0.433, -3.216, 3.872], [-4.920, 1.061, 1.431]], "species": ["As", "Se", "Tc", "Br", "Br"], "frac_coords": [[0.000, 0.000, 0.500], [0.000, 0.000, 0.000], [0.500, 0.500, 0.500], [0.000, 0.500, 0.000], [0.500, 0.000, 0.000]], "magmom_total_mub_per_cell": 4.633, "polymorph_energy_mev_per_atom": 699, "e_form_raw_kj_per_mol_atoms": 120.1, "spacegroup": "No. 123", "vol_a3_per_atom": 26.7}

# 19
{"formula": "TcAsSe2Br", "functional": "GGA-PBEsol", "state": "optimized geometry", "lattice_angstrom": [[5.050, 0.000, 0.000], [0.000, 4.969, 0.000], [0.000, 0.000, 4.969]], "species": ["As", "Se", "Se", "Tc", "Br"], "frac_coords": [[0.500, 0.000, 0.000], [0.000, 0.000, 0.500], [0.000, 0.500, 0.000], [0.500, 0.500, 0.500], [0.000, 0.000, 0.000]], "magmom_total_mub_per_cell": 3.755, "polymorph_energy_mev_per_atom": 1106, "e_form_raw_kj_per_mol_atoms": 156.8, "spacegroup": "No. 123", "vol_a3_per_atom": 24.9}

# 20
{"formula": "TcAsSeBr2", "functional": "GGA-PBEsol", "state": "optimized geometry", "lattice_angstrom": [[-0.998, -4.623, 0.165], [2.541, -0.697, -4.165], [4.093, -0.790, 2.629]], "species": ["As", "Se", "Tc", "Br", "Br"], "frac_coords": [[0.500, 0.500, 0.500], [0.500, 0.000, 0.000], [0.000, 0.000, 0.000], [0.000, 0.000, 0.500], [0.000, 0.500, 0.000]], "magmom_total_mub_per_cell": 0.001, "polymorph_energy_mev_per_atom": 0, "e_form_raw_kj_per_mol_atoms": 52.7, "spacegroup": "No. 123", "vol_a3_per_atom": 23.0}

# 21
{"formula": "TcAsSe2Br", "functional": "GGA-PBEsol", "state": "optimized geometry", "lattice_angstrom": [[-0.623, -3.325, 3.331], [1.272, -3.354, -3.110], [4.727, 0.506, 1.388]], "species": ["As", "Se", "Se", "Tc", "Br"], "frac_coords": [[0.500, 0.500, 0.500], [0.000, 0.500, 0.000], [0.500, 0.000, 0.000], [0.000, 0.000, 0.000], [0.000, 0.000, 0.500]], "magmom_total_mub_per_cell": 0.000, "polymorph_energy_mev_per_atom": 0, "e_form_raw_kj_per_mol_atoms": 50.1, "spacegroup": "No. 123", "vol_a3_per_atom": 22.3}

# 22
{"formula": "TeAs2SeBr", "functional": "GGA-PBEsol", "state": "optimized geometry", "lattice_angstrom": [[5.222, 0.000, 0.000], [0.000, 5.329, 0.000], [0.000, 0.000, 5.329]], "species": ["As", "As", "Te", "Se", "Br"], "frac_coords": [[0.000, 0.000, 0.500], [0.000, 0.500, 0.000], [0.000, 0.000, 0.000], [0.500, 0.500, 0.500], [0.500, 0.000, 0.000]], "magmom_total_mub_per_cell": 0.001, "e_form_raw_kj_per_mol_atoms": 91.2, "spacegroup": "No. 123", "vol_a3_per_atom": 29.7}

# 23
{"formula": "TlAsSeBr2", "functional": "GGA-PBEsol", "state": "optimized geometry", "lattice_angstrom": [[-0.130, 4.646, 1.802], [-0.466, -1.939, 4.965], [5.328, -0.039, 0.485]], "species": ["As", "Tl", "Se", "Br", "Br"], "frac_coords": [[0.000, 0.000, 0.000], [0.500, 0.500, 0.500], [0.500, 0.000, 0.000], [0.000, 0.000, 0.500], [0.000, 0.500, 0.000]], "magmom_total_mub_per_cell": 0.000, "polymorph_energy_mev_per_atom": 0, "e_form_raw_kj_per_mol_atoms": -25.5, "spacegroup": "No. 123", "vol_a3_per_atom": 28.5}

# 24
{"formula": "TlAsSeBr2", "functional": "GGA-PBEsol", "state": "optimized geometry", "lattice_angstrom": [[5.020, 0.000, 0.000], [0.000, 5.415, 0.000], [0.000, 0.000, 5.415]], "species": ["As", "Tl", "Se", "Br", "Br"], "frac_coords": [[0.500, 0.000, 0.000], [0.500, 0.500, 0.500], [0.000, 0.000, 0.000], [0.000, 0.000, 0.500], [0.000, 0.500, 0.000]], "magmom_total_mub_per_cell": 0.000, "polymorph_energy_mev_per_atom": 371, "e_form_raw_kj_per_mol_atoms": 10.3, "spacegroup": "No. 123", "vol_a3_per_atom": 29.4}

# 25
{"formula": "YAs2SeBr", "functional": "GGA-PBEsol", "state": "optimized geometry", "lattice_angstrom": [[4.973, 0.000, 0.000], [0.000, 4.973, 0.000], [0.000, 0.000, 5.009]], "species": ["Y", "As", "As", "Se", "Br"], "frac_coords": [[0.500, 0.500, 0.500], [0.000, 0.500, 0.000], [0.500, 0.000, 0.000], [0.000, 0.000, 0.000], [0.000, 0.000, 0.500]], "magmom_total_mub_per_cell": 0.000, "polymorph_energy_mev_per_atom": 0, "e_form_raw_kj_per_mol_atoms": 2.1, "spacegroup": "No. 123", "vol_a3_per_atom": 24.8}

# 26
{"formula": "YAs2SeBr", "functional": "GGA-PBEsol", "state": "optimized geometry", "lattice_angstrom": [[4.999, 0.000, 0.000], [0.000, 4.999, 0.000], [0.000, 0.000, 4.966]], "species": ["Y", "As", "As", "Se", "Br"], "frac_coords": [[0.500, 0.500, 0.500], [0.000, 0.500, 0.000], [0.500, 0.000, 0.000], [0.000, 0.000, 0.500], [0.000, 0.000, 0.000]], "magmom_total_mub_per_cell": 0.000, "polymorph_energy_mev_per_atom": 269, "e_form_raw_kj_per_mol_atoms": 28.1, "spacegroup": "No. 123", "vol_a3_per_atom": 24.8}

# 27
{"formula": "SiAsBr", "functional": "GGA-PBEsol", "state": "optimized geometry", "lattice_angstrom": [[-0.832, -4.355, 1.217], [2.207, -1.847, 3.586], [-2.284, -0.905, 3.887]], "species": ["As", "Si", "Br"], "frac_coords": [[0.250, 0.250, 0.250], [0.500, 0.500, 0.500], [0.000, 0.000, 0.000]], "magmom_total_mub_per_cell": 0.000, "e_form_raw_kj_per_mol_atoms": 52.0, "spacegroup": "No. 216", "vol_a3_per_atom": 22.9}

# 28
{"formula": "SiAsBr2", "functional": "GGA-PBEsol", "state": "optimized geometry", "lattice_angstrom": [[-2.462, 0.798, -2.144], [-0.313, -1.674, -2.897], [-6.583, -6.487, 2.511]], "species": ["As", "Si", "Br", "Br"], "frac_coords": [[0.000, 0.000, 0.000], [0.500, 0.500, 0.500], [0.907, 0.907, 0.280], [0.093, 0.093, 0.720]], "magmom_total_mub_per_cell": 0.000, "e_form_raw_kj_per_mol_atoms": 29.6, "spacegroup": "No. 166", "vol_a3_per_atom": 22.9}

# 29
{"formula": "SiSnAsBr2", "functional": "GGA-PBEsol", "state": "optimized geometry", "lattice_angstrom": [[-2.487, -4.486, 1.327], [3.548, -0.830, 3.845], [-3.107, 2.745, 3.459]], "species": ["As", "Si", "Sn", "Br", "Br"], "frac_coords": [[0.000, 0.000, 0.500], [0.500, 0.500, 0.500], [0.000, 0.000, 0.000], [0.000, 0.500, 0.000], [0.500, 0.000, 0.000]], "magmom_total_mub_per_cell": 0.001, "e_form_raw_kj_per_mol_atoms": 60.3, "spacegroup": "No. 123", "vol_a3_per_atom": 30.3}

# 30
{"formula": "SiTcAs2Br", "functional": "GGA-PBEsol", "state": "optimized geometry", "lattice_angstrom": [[4.652, 0.000, 0.000], [0.000, 4.652, 0.000], [0.000, 0.000, 5.292]], "species": ["As", "As", "Si", "Tc", "Br"], "frac_coords": [[0.000, 0.500, 0.000], [0.500, 0.000, 0.000], [0.500, 0.500, 0.500], [0.000, 0.000, 0.000], [0.000, 0.000, 0.500]], "magmom_total_mub_per_cell": 0.000, "e_form_raw_kj_per_mol_atoms": 69.6, "spacegroup": "No. 123", "vol_a3_per_atom": 22.9}